[1]
Computed, not measured: an optimized crystal structure of Ag2Cl at the PBE-GGA level of DFT.

## Properties
magnetic moment	0.0	Bohr magnetons per cell
symmetry	No. 12
Fermi-level density of states	0.209	states/eV per atom
final energy	-2.61	eV/atom
formation energy from raw total energies	-0.095	eV per atom
crystal system	monoclinic
energy above the lowest structure with this stoichiometry	12.2	kJ per mole of atoms

a b c (Å): 6.4317 6.4317 6.4724
angles (deg): 68.04 68.04 29.20
Last column: nearest neighbours and their distance in Å.
Atoms (fractional coordinates):
Ag1 0.6632 0.6632 0.9608  5 Ag 2.89-2.90, 4 Cl 3.02
Ag2 0.3220 0.3220 0.6035  2 Cl 2.71, 3 Ag 2.89-2.90
Ag3 0.3368 0.3368 0.0392  5 Ag 2.89-2.90, 4 Cl 3.02
Ag4 0.6780 0.6780 0.3965  2 Cl 2.71, 3 Ag 2.89-2.90
Cl1 0.0390 0.0390 0.7274  6 Ag 2.71-3.02
Cl2 0.9610 0.9610 0.2726  6 Ag 2.71-3.02

[2]
Computed, not measured: an optimized crystal structure of CeMgZn at the PBE-GGA level of DFT.

## Properties
magnetic moment	0.4	Bohr magnetons per cell
symmetry	No. 107
E_form	-0.33	eV per formula unit
Fermi-level density of states	1.487	states/eV per atom
final energy	-3.04	eV/atom
crystal system	tetragonal

a b c (Å): 3.1623 3.1623 6.9413
angles (deg): 103.17 103.17 90.00
Last column: nearest neighbours and their distance in Å.
Atoms (fractional coordinates):
Ce1 0.2708 0.2708 0.5416  4 Zn 3.11, 4 Ce 3.16, 4 Mg 3.47
Zn1 0.6061 0.6061 0.2122  4 Mg 2.84, 4 Ce 3.11, 4 Zn 3.16
Mg1 0.9731 0.9731 0.9461  4 Zn 2.84, 4 Mg 3.16

[3]
Computed, not measured: an optimized crystal structure of LaZnAsN at the PBE-GGA level of DFT.

## Properties
magnetic moment	0.0	Bohr magnetons per cell
symmetry	No. 186
Fermi-level density of states	1.169	states/eV per atom
final energy	-5.52	eV/atom
formation energy from raw total energies	-0.723	eV per atom
crystal system	hexagonal
energy above the lowest structure with this stoichiometry	1.2	kJ per mole of atoms

a b c (Å): 4.0216 4.0216 11.9419
angles (deg): 90.00 90.00 120.00
Last column: nearest neighbours and their distance in Å.
Atoms (fractional coordinates):
As1 0.3333 0.6667 0.2361  3 Zn 2.54
As2 0.6667 0.3333 0.7361  3 Zn 2.54
Zn1 0.0000 0.0000 0.6502  1 N 1.95
Zn2 0.0000 0.0000 0.1502  1 N 1.95
La1 0.6667 0.3333 0.4392  3 N 2.39
La2 0.3333 0.6667 0.9392  3 N 2.39
N1 0.0000 0.0000 0.4868  1 Zn 1.95
N2 0.0000 0.0000 0.9868  1 Zn 1.95

[4]
Computed, not measured: an optimized crystal structure of KSrZr at the PBE-GGA level of DFT.

## Properties
magnetic moment	1.3	Bohr magnetons per cell
symmetry	No. 44
E_form	2.62	eV per formula unit
Fermi-level density of states	1.805	states/eV per atom
final energy	-2.90	eV/atom
crystal system	orthorhombic
energy above the lowest structure with this stoichiometry	19.1	kJ per mole of atoms

a b c (Å): 6.7310 6.7310 6.7310
angles (deg): 150.77 127.63 61.10
Last column: nearest neighbours and their distance in Å.
Atoms (fractional coordinates):
Zr1 0.6730 0.6730 0.0000  2 Zr 3.40
Sr1 0.3248 0.3248 0.0000  2 Sr 3.40, 1 K 3.74
K1 0.0022 0.0022 0.0000  2 K 3.40, 1 Sr 3.74

[5]
Computed, not measured: an optimized crystal structure of RbTcMoH2 at the PBE-GGA level of DFT.

## Properties
magnetic moment	0.8	Bohr magnetons per cell
symmetry	No. 123
Fermi-level density of states	0.661	states/eV per atom
final energy	-3.77	eV/atom
crystal system	tetragonal

a b c (Å): 3.7342 7.1798 3.7342
angles (deg): 90.00 90.00 90.00
Last column: nearest neighbours and their distance in Å.
Atoms (fractional coordinates):
H1 0.0000 0.0000 0.5000  2 Rb 1.87
H2 0.5000 0.0000 0.0000  2 Rb 1.87
Rb1 0.0000 0.0000 0.0000  4 H 1.87
Tc1 0.5000 0.5000 0.5000  4 Mo 2.64
Mo1 0.0000 0.5000 0.0000  4 Tc 2.64

[6]
Computed, not measured: an optimized crystal structure of BaZn3Pt at the PBE-GGA level of DFT.

## Properties
magnetic moment	0.0	Bohr magnetons per cell
symmetry	No. 194
E_form	-0.86	eV per formula unit
Fermi-level density of states	0.903	states/eV per atom
final energy	-2.53	eV/atom
crystal system	hexagonal
energy above the lowest structure with this stoichiometry	27.6	kJ per mole of atoms

a b c (Å): 4.9704 4.9704 10.0284
angles (deg): 90.00 90.00 120.00
Last column: nearest neighbours and their distance in Å.
Atoms (fractional coordinates):
Zn1 0.6667 0.3333 0.5715  3 Pt 2.96, 3 Zn 3.21, 1 Ba 3.22
Zn2 0.0000 0.0000 0.2500  2 Pt 2.51
Zn3 0.0000 0.0000 0.7500  2 Pt 2.51
Zn4 0.6667 0.3333 0.9285  3 Pt 2.96, 3 Zn 3.21, 1 Ba 3.22
Zn5 0.3333 0.6667 0.4285  3 Pt 2.96, 3 Zn 3.21, 1 Ba 3.22
Zn6 0.3333 0.6667 0.0715  3 Pt 2.96, 3 Zn 3.21, 1 Ba 3.22
Ba1 0.3333 0.6667 0.7500  3 Zn 2.87
Ba2 0.6667 0.3333 0.2500  3 Zn 2.87
Pt1 0.0000 0.0000 0.5000  2 Zn 2.51
Pt2 0.0000 0.0000 0.0000  2 Zn 2.51